Crystalline Ac5PtS4 at its relaxed geometry, computed with PBE.

Cell lengths 4.323, 4.323, 15.812 Å; angles 97.86, 97.86, 90.00 degrees
Sites, in units of the cell vectors:
Ac 0.101 0.101 0.203
Ac 0.500 0.500 0.000
Ac 0.899 0.899 0.797
Ac 0.298 0.298 0.596
Ac 0.702 0.702 0.404
Pt 0.000 0.000 0.000
S 0.397 0.397 0.794
S 0.801 0.801 0.601
S 0.199 0.199 0.399
S 0.603 0.603 0.206

As for the uncorrected formation energy: -1.816 eV per atom. As for the space group: I4/mmm, No. 139. The value obtained for the calculated density is 8.4 g cm⁻³. Its size of the total moment is 0.001 μB/cell.

Crystalline Ac6Pt3S at its relaxed geometry, computed with PBE.

Cell lengths 7.330, 8.068, 11.382 Å; angles 90.00, 91.96, 90.00 degrees
Sites, in units of the cell vectors:
Ac 0.669 0.182 0.914
Ac 0.669 0.175 0.574
Ac 0.665 0.446 0.251
Ac 0.335 0.554 0.749
Ac 0.331 0.825 0.426
Ac 0.331 0.818 0.086
Ac 0.169 0.318 0.414
Ac 0.169 0.325 0.074
Ac 0.165 0.054 0.751
Ac 0.835 0.946 0.249
Ac 0.831 0.675 0.926
Ac 0.831 0.682 0.586
Pt 0.557 0.886 0.735
Pt 0.500 0.500 0.000
Pt 0.443 0.114 0.265
Pt 0.057 0.614 0.235
Pt 0.000 0.000 0.500
Pt 0.943 0.386 0.765
S 0.500 0.500 0.500
S 0.000 0.000 0.000

As for the uncorrected formation energy: -1.075 eV per atom. As for the space group: P2_1/c, No. 14. The value obtained for the calculated density is 9.8 g cm⁻³. Its size of the total moment is 0.000 μB/cell.

Crystalline Ac3Pt2S at its relaxed geometry, computed with PBE.

Cell lengths 4.395, 4.395, 9.856 Å; angles 102.87, 102.87, 90.01 degrees
Sites, in units of the cell vectors:
Ac 0.934 0.936 0.874
Ac 0.264 0.265 0.532
Ac 0.605 0.606 0.215
Pt 0.096 0.097 0.198
Pt 0.773 0.774 0.550
S 0.434 0.436 0.874

As for the uncorrected formation energy: -1.414 eV per atom. As for the space group: C2/m, No. 12. The value obtained for the calculated density is 10.1 g cm⁻³. Its size of the total moment is 0.000 μB/cell.

- Look up the size of the total moment of the first one.
  0.001 μB/cell

- Which formula does entry 2 have?
  Ac6Pt3S

- Number 3 is which compound?
  Ac3Pt2S